[1]
{
  "formula": "GeB2Mo2",
  "functional": "PBE",
  "state": "relaxed",
  "lattice_angstrom": [[1.5449, -5.8134, 0.0000], [1.5449, 5.8134, 0.0000], [0.0000, 0.0000, 3.1692]],
  "species": ["Ge", "B", "B", "Mo", "Mo"],
  "frac_coords": [[0.0000, 0.0000, 0.0000], [0.2121, 0.7879, 0.0000], [0.7879, 0.2121, 0.0000], [0.3595, 0.6405, 0.5000], [0.6405, 0.3595, 0.5000]],
  "e_tot_ev_per_atom": -8.133,
  "spacegroup": "Cmmm, No. 65"
}

[2]
{
  "formula": "ZrB",
  "functional": "PBE",
  "state": "relaxed",
  "lattice_angstrom": [[4.8731, 0.0000, 0.0000], [0.0000, 9.7231, 0.0000], [0.0000, 0.0000, 4.8354]],
  "species": ["Zr", "Zr", "Zr", "Zr", "Zr", "Zr", "Zr", "Zr", "B", "B", "B", "B", "B", "B", "B", "B"],
  "frac_coords": [[0.2500, 0.0400, 0.2292], [0.2500, 0.2500, 0.6885], [0.2500, 0.4600, 0.2292], [0.2500, 0.7500, 0.9743], [0.7500, 0.2500, 0.0257], [0.7500, 0.5400, 0.7708], [0.7500, 0.7500, 0.3115], [0.7500, 0.9600, 0.7708], [0.2500, 0.5279, 0.7350], [0.2500, 0.6636, 0.5053], [0.2500, 0.8364, 0.5053], [0.2500, 0.9721, 0.7350], [0.7500, 0.0279, 0.2650], [0.7500, 0.1636, 0.4947], [0.7500, 0.3364, 0.4947], [0.7500, 0.4721, 0.2650]],
  "e_tot_ev_per_atom": -7.956,
  "spacegroup": "Pmmn, No. 59"
}

[3]
{
  "formula": "TbPmU",
  "functional": "PBE",
  "state": "relaxed",
  "lattice_angstrom": [[0.0000, 3.7311, 3.7311], [3.7311, 0.0000, 3.7311], [3.7311, 3.7311, 0.0000]],
  "species": ["Tb", "Pm", "U"],
  "frac_coords": [[0.0000, 0.0000, 0.0000], [0.5000, 0.5000, 0.5000], [0.7500, 0.7500, 0.7500]],
  "e_above_lowest_polymorph_ev_per_atom": 0.0000,
  "spacegroup": "F-43m, No. 216",
  "e_form_mev_per_atom": 1267.0
}

[4]
{
  "formula": "BeZn",
  "functional": "PBE",
  "state": "relaxed",
  "lattice_angstrom": [[0.0000, 2.3870, 2.3870], [2.3870, 0.0000, 2.3870], [2.3870, 2.3870, 0.0000]],
  "species": ["Be", "Zn"],
  "frac_coords": [[0.0000, 0.0000, 0.0000], [0.5000, 0.5000, 0.5000]],
  "e_tot_ev_per_atom": -1.836,
  "spacegroup": "Fm-3m, No. 225"
}

[5]
{
  "formula": "TmMgPt",
  "functional": "PBE",
  "state": "relaxed",
  "lattice_angstrom": [[0.0000, 3.3041, 3.3041], [3.3041, 0.0000, 3.3041], [3.3041, 3.3041, 0.0000]],
  "species": ["Tm", "Mg", "Pt"],
  "frac_coords": [[0.0000, 0.0000, 0.0000], [0.7500, 0.7500, 0.7500], [0.2500, 0.2500, 0.2500]],
  "e_tot_ev_per_atom": -4.199,
  "spacegroup": "F-43m, No. 216"
}

[6]
{
  "formula": "FePSe",
  "functional": "PBE",
  "state": "relaxed",
  "lattice_angstrom": [[4.8660, 0.0000, 0.0000], [0.0000, 3.1882, 0.0000], [-0.0531, 0.0000, 5.7038]],
  "species": ["Fe", "Fe", "P", "P", "Se", "Se"],
  "frac_coords": [[0.0000, 0.0000, 0.0000], [0.5000, 0.5000, 0.5000], [0.1795, 0.0000, 0.3726], [0.8205, 0.0000, 0.6274], [0.2992, 0.5000, 0.8597], [0.7008, 0.5000, 0.1403]],
  "e_tot_ev_per_atom": -6.066,
  "spacegroup": "P2/m, No. 10"
}

[7]
{
  "formula": "Os",
  "functional": "PBE",
  "state": "relaxed",
  "lattice_angstrom": [[-2.4410, 2.4410, 1.3482], [2.4410, -2.4410, 1.3482], [2.4410, 2.4410, -1.3482]],
  "species": ["Os", "Os"],
  "frac_coords": [[0.3750, 0.6250, 0.7500], [0.6250, 0.3750, 0.2500]],
  "e_above_lowest_polymorph_ev_per_atom": 1.1936,
  "spacegroup": "I4_1/amd, No. 141",
  "e_form_mev_per_atom": 1193.6
}

[8]
{
  "formula": "SmGe2P2",
  "functional": "PBE",
  "state": "relaxed",
  "lattice_angstrom": [[-1.9564, 1.9564, 6.6694], [1.9564, -1.9564, 6.6694], [1.9564, 1.9564, -6.6694]],
  "species": ["Sm", "Ge", "Ge", "P", "P"],
  "frac_coords": [[0.0000, 0.0000, 0.0000], [0.2500, 0.7500, 0.5000], [0.7500, 0.2500, 0.5000], [0.4155, 0.4155, 0.0000], [0.5845, 0.5845, 0.0000]],
  "e_tot_ev_per_atom": -5.280,
  "spacegroup": "I4/mmm, No. 139"
}

[9]
{
  "formula": "PmBW",
  "functional": "PBE",
  "state": "relaxed",
  "lattice_angstrom": [[0.0000, 2.9900, 2.9900], [2.9900, 0.0000, 2.9900], [2.9900, 2.9900, 0.0000]],
  "species": ["Pm", "B", "W"],
  "frac_coords": [[0.0000, 0.0000, 0.0000], [0.2500, 0.2500, 0.2500], [0.5000, 0.5000, 0.5000]],
  "e_above_lowest_polymorph_ev_per_atom": 0.0000,
  "spacegroup": "F-43m, No. 216"
}

[10]
{
  "formula": "BaCuAs2",
  "functional": "PBE",
  "state": "relaxed",
  "lattice_angstrom": [[0.0000, 3.6225, 3.6225], [3.6225, 0.0000, 3.6225], [3.6225, 3.6225, 0.0000]],
  "species": ["Ba", "Cu", "As", "As"],
  "frac_coords": [[0.0000, 0.0000, 0.0000], [0.2500, 0.2500, 0.2500], [0.5000, 0.5000, 0.5000], [0.7500, 0.7500, 0.7500]],
  "e_tot_ev_per_atom": -3.686,
  "spacegroup": "F-43m, No. 216"
}

[11]
{
  "formula": "ZrBeCd",
  "functional": "PBE",
  "state": "relaxed",
  "lattice_angstrom": [[1.8988, -7.8853, 0.0000], [1.8988, 7.8853, 0.0000], [0.0000, 0.0000, 3.5117]],
  "species": ["Zr", "Zr", "Be", "Be", "Cd", "Cd"],
  "frac_coords": [[0.0830, 0.9170, 0.7500], [0.9170, 0.0830, 0.2500], [0.4628, 0.5372, 0.7500], [0.5372, 0.4628, 0.2500], [0.2990, 0.7010, 0.7500], [0.7010, 0.2990, 0.2500]],
  "e_above_lowest_polymorph_ev_per_atom": 0.0000,
  "spacegroup": "Cmcm, No. 63"
}

[12]
{
  "formula": "Tm3SiPd4",
  "functional": "PBE",
  "state": "relaxed",
  "lattice_angstrom": [[5.6099, 0.0000, 0.0000], [0.0000, 4.2239, 0.0000], [-0.0112, 0.0000, 6.6037]],
  "species": ["Tm", "Tm", "Tm", "Si", "Pd", "Pd", "Pd", "Pd"],
  "frac_coords": [[0.0000, 0.0000, 0.0000], [0.2366, 0.0000, 0.4992], [0.7205, 0.5000, 0.6360], [0.4784, 0.5000, 0.1624], [0.0353, 0.5000, 0.2770], [0.2193, 0.5000, 0.7939], [0.5107, 0.0000, 0.9295], [0.6897, 0.0000, 0.3330]],
  "e_tot_ev_per_atom": -5.750,
  "spacegroup": "Pm, No. 6"
}